AsOsSe | the Alexandria database | PBE | relaxed; total DFT energy (no corrections) = -18.603 eV per formula unit; energy relative to the elements, uncorrected = 73 kJ/mol of formula units; spin magnetization = 0.00 μB per formula unit
1.0
3.0609 0.0000 0.0000
-1.5305 2.6509 0.0000
0.0000 0.0000 7.6388
As Os Se
1 1 1
Direct
0.0000 0.0000 0.0000
0.6667 0.3333 0.2409
0.3333 0.6667 0.4898

***

AsOsSe2 | the Alexandria database | PBE | relaxed; total DFT energy (no corrections) = -21.891 eV per formula unit; energy relative to the elements, uncorrected = 92 kJ/mol of formula units; spin magnetization = 0.00 μB per formula unit
1.0
3.4325 0.0000 0.0000
-1.7163 2.9727 0.0000
0.0000 0.0000 25.2383
As Os Se
3 3 6
Direct
0.0000 0.0000 0.0000
0.3333 0.6667 0.6667
0.6667 0.3333 0.3333
0.0000 0.0000 0.2577
0.3333 0.6667 0.9244
0.6667 0.3333 0.5911
0.0000 0.0000 0.5362
0.0000 0.0000 0.7339
0.3333 0.6667 0.2029
0.3333 0.6667 0.4005
0.6667 0.3333 0.0672
0.6667 0.3333 0.8696